Record 1
DyErN (PBE-GGA, relaxed); ΔE to the lowest computed polymorph = 0 meV per atom; formation energy (no corrections) = -1.06 eV per atom; D(E_F) = 2.6 states/eV/cell; total energy = -6.888 eV per atom; theoretical density = 9193 kg/m3; space-group type = No. 156
1.0
3.474 0.000 0.000
-1.737 3.009 0.000
0.000 0.000 5.941
N Dy Er
1 1 1
direct
0.667 0.333 0.337
0.000 0.000 0.107
0.333 0.667 0.556

---

Record 2
BaCd3As (PBE-GGA, relaxed); ΔE to the lowest computed polymorph = 936 meV per atom; D(E_F) = 7.7 states/eV/cell; total energy = -0.937 eV per atom; formation enthalpy at 0 K = 0.93 eV/atom; theoretical density = 3137 kg/m3; space-group type = No. 221
1.0
6.626 0.000 0.000
0.000 6.626 0.000
0.000 0.000 6.626
As Ba Cd
1 1 3
direct
0.500 0.500 0.500
0.000 0.000 0.000
0.000 0.500 0.000
0.000 0.000 0.500
0.500 0.000 0.000

---

Record 3
Cd3IrRu (PBE-GGA, relaxed); ΔE to the lowest computed polymorph = 0 meV per atom; D(E_F) = 7.7 states/eV/cell; total energy = -3.003 eV per atom; formation enthalpy at 0 K = 1.17 eV/atom; theoretical density = 7906 kg/m3; space-group type = No. 221
1.0
5.097 0.000 0.000
0.000 5.097 0.000
0.000 0.000 5.097
Ru Ir Cd
1 1 3
direct
0.500 0.500 0.500
0.000 0.000 0.000
0.000 0.500 0.000
0.000 0.000 0.500
0.500 0.000 0.000

---

Record 4
Ce6PrSe8 (PBE-GGA, relaxed); formation energy (no corrections) = -1.83 eV per atom; D(E_F) = 36.7 states/eV/cell; total energy = -6.382 eV per atom; theoretical density = 6384 kg/m3; space-group type = No. 225
1.0
7.278 0.000 4.202
2.426 6.861 4.202
0.000 0.000 8.404
Ce Pr Se
6 1 8
direct
0.000 0.500 0.500
0.500 0.000 0.000
0.500 0.500 0.000
0.000 0.000 0.500
0.000 0.500 0.000
0.500 0.000 0.500
0.000 0.000 0.000
0.750 0.750 0.750
0.250 0.250 0.250
0.746 0.254 0.254
0.254 0.746 0.746
0.254 0.254 0.746
0.746 0.746 0.254
0.746 0.254 0.746
0.254 0.746 0.254

---

Record 5
YCrPb3 (PBE-GGA, relaxed); ΔE to the lowest computed polymorph = 572 meV per atom; D(E_F) = 4.9 states/eV/cell; total energy = -4.553 eV per atom; formation enthalpy at 0 K = 0.89 eV/atom; theoretical density = 6323 kg/m3; space-group type = No. 221
1.0
-1.610 -5.511 -1.127
3.983 -0.290 -4.275
3.971 -1.944 3.831
Pb Y Cr
3 1 1
direct
0.000 0.500 0.000
0.000 0.000 0.500
0.500 0.000 0.000
0.000 0.000 0.000
0.500 0.500 0.500

---

Record 6
Pm2ErGa6 (PBE-GGA, relaxed); ΔE to the lowest computed polymorph = 227 meV per atom; D(E_F) = 5.3 states/eV/cell; total energy = -4.008 eV per atom; formation enthalpy at 0 K = -0.43 eV/atom; theoretical density = 6963 kg/m3; space-group type = No. 71
1.0
-2.344 -2.511 -2.693
4.626 -6.223 -1.761
-0.152 -7.220 3.328
Pm Er Ga
2 1 6
direct
0.372 0.128 0.128
0.628 0.872 0.872
0.500 0.500 0.500
0.179 0.509 0.132
0.821 0.491 0.868
0.821 0.868 0.491
0.000 0.194 0.806
0.000 0.806 0.194
0.179 0.132 0.509

---

Record 7
SeS (PBE-GGA, relaxed); ΔE to the lowest computed polymorph = 24 meV per atom; formation energy (no corrections) = 0.07 eV per atom; D(E_F) = 0.0 states/eV/cell; total energy = -3.738 eV per atom; theoretical density = 2749 kg/m3; space-group type = No. 6
1.0
5.945 0.000 0.000
0.000 4.091 0.000
-2.681 0.000 5.516
S Se
2 2
direct
0.830 0.500 0.503
0.627 0.500 0.671
0.921 0.000 0.003
0.154 0.000 0.809

---

Record 8
CdFe3 (PBE-GGA, relaxed); D(E_F) = 3.3 states/eV/cell; total energy = -6.253 eV per atom; formation enthalpy at 0 K = 0.32 eV/atom; theoretical density = 8274 kg/m3; space-group type = No. 12
1.0
-1.224 -2.321 -0.436
3.484 0.247 -2.984
2.485 -1.995 3.646
Cd Fe
1 3
direct
0.000 0.000 0.000
0.752 0.504 0.273
0.500 0.000 0.500
0.248 0.496 0.727

---

Record 9
SrMnSb2I (PBE-GGA, relaxed); ΔE to the lowest computed polymorph = 880 meV per atom; formation energy (no corrections) = 0.74 eV per atom; D(E_F) = 3.8 states/eV/cell; total energy = -3.388 eV per atom; theoretical density = 3586 kg/m3; space-group type = No. 123
1.0
-2.725 -2.731 4.881
5.153 -3.337 1.009
2.145 4.423 3.672
I Sb Mn Sr
1 2 1 1
direct
0.000 0.000 0.500
0.000 0.500 0.000
0.500 0.000 0.000
0.500 0.500 0.500
0.000 0.000 0.000

---

Record 10
KNaTaCl6 (PBE-GGA, relaxed); formation energy (no corrections) = -1.54 eV per atom; D(E_F) = 14.6 states/eV/cell; total energy = -4.360 eV per atom; theoretical density = 2705 kg/m3; space-group type = No. 163
1.0
6.970 0.000 0.000
-3.485 6.036 0.000
0.000 0.000 13.297
K Na Ta Cl
2 2 2 12
direct
0.000 0.000 0.000
0.000 0.000 0.500
0.333 0.667 0.250
0.667 0.333 0.750
0.667 0.333 0.250
0.333 0.667 0.750
0.655 0.611 0.144
0.956 0.345 0.144
0.345 0.956 0.644
0.044 0.655 0.856
0.389 0.345 0.356
0.956 0.611 0.356
0.611 0.956 0.856
0.655 0.044 0.356
0.044 0.389 0.644
0.389 0.044 0.144
0.611 0.655 0.644
0.345 0.389 0.856

---

Record 11
PmNdIrRu (PBE-GGA, relaxed); D(E_F) = 3.1 states/eV/cell; total energy = -7.253 eV per atom; formation enthalpy at 0 K = -0.34 eV/atom; theoretical density = 11093 kg/m3; space-group type = No. 216
1.0
-2.475 3.043 3.064
-3.532 -1.820 2.998
0.782 -0.237 4.910
Ru Ir Nd Pm
1 1 1 1
direct
0.750 0.750 0.750
0.250 0.250 0.250
0.000 0.000 0.000
0.500 0.500 0.500

---

Record 12
RbInNF2 (PBE-GGA, relaxed); ΔE to the lowest computed polymorph = 0 meV per atom; formation energy (no corrections) = -1.27 eV per atom; D(E_F) = 2.5 states/eV/cell; total energy = -4.428 eV per atom; theoretical density = 4804 kg/m3; space-group type = No. 123
1.0
4.599 0.000 0.000
0.000 4.599 0.000
0.000 0.000 4.122
N F Rb In
1 2 1 1
direct
0.000 0.000 0.500
0.000 0.500 0.000
0.500 0.000 0.000
0.500 0.500 0.500
0.000 0.000 0.000